A PBEsol-optimized structure of SrScCo, computed with SCAN.

Cell and atoms, written as POSCAR:
```
SrScCo
1.0
0.000 3.237 3.237
3.237 0.000 3.237
3.237 3.237 0.000
Sr Sc Co
1 1 1
direct
0.000 0.000 0.000
0.750 0.750 0.750
0.500 0.500 0.500
```

Properties
ΔH_f (0 K) ... 1077 meV/atom
DOS(E_F) ... 1.479 states/eV/cell
Volume ... 22.62 Å³/atom

=====

A PBEsol-optimized structure of KLa2Mg, computed with SCAN.

Cell and atoms, written as POSCAR:
```
KLa2Mg
1.0
5.044 0.000 0.000
0.000 5.044 0.000
0.000 0.000 5.596
K La Mg
1 2 1
direct
0.000 0.000 0.000
0.000 0.500 0.500
0.500 0.000 0.500
0.500 0.500 0.000
```

Properties
ΔH_f (0 K) ... 319 meV/atom
DOS(E_F) ... 4.487 states/eV/cell
Volume ... 35.59 Å³/atom

=====

A PBEsol-optimized structure of ScSb2Pb, computed with SCAN.

Cell and atoms, written as POSCAR:
```
ScSb2Pb
1.0
1.676 0.968 10.645
-1.676 0.968 10.645
0.000 -1.935 10.645
Sc Sb Pb
1 2 1
direct
0.000 0.000 0.000
0.261 0.261 0.261
0.739 0.739 0.739
0.500 0.500 0.500
```

Properties
ΔE_f (raw) ... -0.2296 eV per atom
DOS(E_F) ... 2.883 states/eV/cell
Volume ... 25.89 Å³/atom